(1)
A plane-wave DFT calculation with PBE was carried out for a geometry-optimized AlSiTe2N structure.

Unit cell a=5.631 b=5.631 c=3.463 alpha=90.00 beta=90.00 gamma=90.00
Sites, in units of the cell vectors:
Al: 0.000 0.000 0.000
Si: 0.500 0.500 0.500
Te: 0.000 0.500 0.000
Te: 0.500 0.000 0.000
N: 0.000 0.000 0.500

Summary:
For the energy, the calculation gives -21.4 eV per cell. The value obtained for the magnetic moment is 0.0 μB per cell. The density of states at the Fermi level is 0.906 states/eV/atom. Its energy above the most stable polymorph in this dataset is 242.6 meV per atom. Its space group is P4/mmm. For the uncorrected formation energy, the calculation gives 0.467 eV per atom. As for the calculated volume: 109.82 Å³/cell.

---

(2)
A plane-wave DFT calculation with PBE was carried out for a geometry-optimized K2LiAg structure.

Unit cell a=6.868 b=6.868 c=5.916 alpha=64.10 beta=64.10 gamma=37.55
Sites, in units of the cell vectors:
Ag: 0.199 0.199 0.303
Li: 0.570 0.570 0.430
K: 0.967 0.967 0.032
K: 0.765 0.765 0.735

Summary:
For the energy, the calculation gives -6.7 eV per cell. The value obtained for the magnetic moment is 0.0 μB per cell. The density of states at the Fermi level is 0.510 states/eV/atom. Its energy above the most stable polymorph in this dataset is 28.4 meV per atom. Its space group is Cm. As for the calculated volume: 150.92 Å³/cell.

---

(3)
A plane-wave DFT calculation with PBE was carried out for a geometry-optimized Be2CoNiPt structure.

Unit cell a=4.136 b=4.648 c=4.136 alpha=90.00 beta=90.00 gamma=90.00
Sites, in units of the cell vectors:
Co: 0.000 0.500 0.000
Ni: 0.500 0.500 0.500
Be: 0.500 0.000 0.000
Be: 0.000 0.000 0.500
Pt: 0.000 0.000 0.000

Summary:
For the energy, the calculation gives -22.3 eV per cell. The value obtained for the magnetic moment is 2.4 μB per cell. The density of states at the Fermi level is 1.238 states/eV/atom. Its space group is P4/mmm. As for the calculated volume: 79.50 Å³/cell.

---

(4)
A plane-wave DFT calculation with PBE was carried out for a geometry-optimized Fe2Pb structure.

Unit cell a=5.195 b=5.195 c=5.195 alpha=60.00 beta=60.00 gamma=60.00
Sites, in units of the cell vectors:
Fe: 0.625 0.125 0.125
Pb: 0.500 0.500 0.500
Pb: 0.750 0.750 0.750
Fe: 0.125 0.625 0.125
Fe: 0.125 0.125 0.625
Fe: 0.125 0.125 0.125

Summary:
For the energy, the calculation gives -38.8 eV per cell. The value obtained for the magnetic moment is 10.5 μB per cell. The density of states at the Fermi level is 0.867 states/eV/atom. Its space group is Fd-3m. As for the calculated volume: 99.12 Å³/cell.

---

(5)
A plane-wave DFT calculation with PBE was carried out for a geometry-optimized CoHCl3 structure.

Unit cell a=4.369 b=4.369 c=4.369 alpha=90.00 beta=90.00 gamma=90.00
Sites, in units of the cell vectors:
H: 0.000 0.000 0.000
Cl: 0.500 0.000 0.000
Co: 0.500 0.500 0.500
Cl: 0.000 0.000 0.500
Cl: 0.000 0.500 0.000

Summary:
For the energy, the calculation gives -12.5 eV per cell. The value obtained for the magnetic moment is 3.0 μB per cell. The density of states at the Fermi level is 0.834 states/eV/atom. Its energy above the most stable polymorph in this dataset is 432.9 meV per atom. Its space group is Pm-3m. As for the calculated volume: 83.41 Å³/cell.

---

(6)
A plane-wave DFT calculation with PBE was carried out for a geometry-optimized Cd5SnRh6 structure.

Unit cell a=4.557 b=7.900 c=7.900 alpha=119.77 beta=106.75 gamma=106.75
Sites, in units of the cell vectors:
Cd: 0.500 0.175 0.825
Cd: 0.000 0.665 0.335
Rh: 0.242 0.080 0.403
Rh: 0.242 0.403 0.080
Rh: 0.265 0.765 0.765
Rh: 0.758 0.920 0.597
Rh: 0.758 0.597 0.920
Rh: 0.735 0.235 0.235
Cd: 0.500 0.825 0.175
Sn: 0.000 0.000 0.000
Cd: 0.500 0.500 0.500
Cd: 0.000 0.335 0.665

Summary:
For the energy, the calculation gives -55.2 eV per cell. The value obtained for the magnetic moment is 0.0 μB per cell. The density of states at the Fermi level is 0.636 states/eV/atom. Its space group is Immm. As for the calculated volume: 202.06 Å³/cell.

---

Repeat the first record exactly.
A plane-wave DFT calculation with PBE was carried out for a geometry-optimized AlSiTe2N structure.

Unit cell a=5.631 b=5.631 c=3.463 alpha=90.00 beta=90.00 gamma=90.00
Sites, in units of the cell vectors:
Al: 0.000 0.000 0.000
Si: 0.500 0.500 0.500
Te: 0.000 0.500 0.000
Te: 0.500 0.000 0.000
N: 0.000 0.000 0.500

Summary:
For the energy, the calculation gives -21.4 eV per cell. The value obtained for the magnetic moment is 0.0 μB per cell. The density of states at the Fermi level is 0.906 states/eV/atom. Its energy above the most stable polymorph in this dataset is 242.6 meV per atom. Its space group is P4/mmm. For the uncorrected formation energy, the calculation gives 0.467 eV per atom. As for the calculated volume: 109.82 Å³/cell.